Entry 1:
Below is GeBRu2 after structural relaxation, with properties calculated at the PBE level.

The structure in extended XYZ format:
```
4
Lattice="0.0000 2.8999 2.8999 2.8999 0.0000 2.8999 2.8999 2.8999 0.0000" Properties=species:S:1:pos:R:3 pbc="T T T"
Ge 0.0000 0.0000 0.0000
B 2.8999 2.8999 2.8999
Ru 1.4500 1.4500 1.4500
Ru 4.3499 4.3499 4.3499
```

Values from the calculation:
The electronic total energy comes out at -7.357 eV/atom.

Entry 2:
Below is NaTl3Hg4 after structural relaxation, with properties calculated at the PBE level.

The structure in extended XYZ format:
```
8
Lattice="4.0151 0.0000 0.0000 0.0000 4.0151 0.0000 0.0000 0.0000 13.8622" Properties=species:S:1:pos:R:3 pbc="T T T"
Na 0.0000 0.0000 0.0000
Tl 0.0000 0.0000 3.3729
Tl 0.0000 0.0000 6.9311
Tl 0.0000 0.0000 10.4893
Hg 2.0076 2.0076 1.6127
Hg 2.0076 2.0076 5.1722
Hg 2.0076 2.0076 8.6900
Hg 2.0076 2.0076 12.2496
```

Values from the calculation:
The electronic total energy comes out at -1.283 eV/atom.

Entry 3:
Below is La3TbNdEr after structural relaxation, with properties calculated at the PBE level.

The structure in extended XYZ format:
```
12
Lattice="8.1233 0.0000 0.0000 0.0000 5.2235 0.0000 -3.3365 0.0000 9.8661" Properties=species:S:1:pos:R:3 pbc="T T T"
La 1.2350 1.3059 0.4298
La -0.4172 1.3059 5.3388
La -1.2434 3.9176 7.8179
La 6.0302 1.3059 2.0482
La 5.2040 3.9176 4.5273
La 3.5518 3.9176 9.4363
Tb 3.6202 3.9176 1.2477
Tb 1.1666 1.3059 8.6183
Nd 0.4143 3.9176 2.8926
Nd 4.3725 1.3059 6.9734
Er 2.8014 1.3059 3.7222
Er 1.9854 3.9176 6.1439
```

Values from the calculation:
The electronic total energy comes out at -4.761 eV/atom.

Entry 4:
Below is AlTlBi after structural relaxation, with properties calculated at the PBE level.

The structure in extended XYZ format:
```
6
Lattice="5.0897 0.0000 0.0000 0.0000 5.0897 0.0000 0.0000 0.0000 7.2671" Properties=species:S:1:pos:R:3 pbc="T T T"
Al 1.2724 3.8173 0.0000
Al 3.8173 1.2724 0.0000
Tl 1.2724 1.2724 2.2375
Tl 3.8173 3.8173 5.0295
Bi 1.2724 1.2724 5.7194
Bi 3.8173 3.8173 1.5476
```

Values from the calculation:
The electronic total energy comes out at -3.218 eV/atom.

Entry 5:
Below is Sb2TeCl after structural relaxation, with properties calculated at the PBE level.

The structure in extended XYZ format:
```
4
Lattice="1.8024 -2.9605 0.0000 1.8024 2.9605 0.0000 0.0000 0.0000 9.9260" Properties=species:S:1:pos:R:3 pbc="T T T"
Sb 0.0000 0.0000 2.4076
Sb 0.0000 0.0000 7.5185
Te 1.8024 0.0000 4.9630
Cl 1.8024 0.0000 0.0000
```

Values from the calculation:
The electronic total energy comes out at -3.259 eV/atom.

Entry 6:
Below is HfPtC2 after structural relaxation, with properties calculated at the PBE level.

The structure in extended XYZ format:
```
8
Lattice="-2.3343 2.3343 5.2596 2.3343 -2.3343 5.2596 2.3343 2.3343 -5.2596" Properties=species:S:1:pos:R:3 pbc="T T T"
Hf 0.0000 0.0000 0.0000
Hf 0.0000 2.3343 2.6298
Pt 2.3343 0.0000 2.6298
Pt 0.0000 0.0000 5.2596
C 1.1671 -1.0332 3.9447
C 1.3011 1.1671 1.3149
C 1.1671 3.3675 -1.3149
C 1.0332 1.1671 6.5745
```

Values from the calculation:
The electronic total energy comes out at -8.196 eV/atom.

Entry 7:
Below is CaZnGa2Au after structural relaxation, with properties calculated at the PBE level.

The structure in extended XYZ format:
```
5
Lattice="-2.0900 2.1153 5.7169 2.0900 -2.1153 5.7169 2.0900 2.1153 -5.7169" Properties=species:S:1:pos:R:3 pbc="T T T"
Ca 0.0000 0.0000 0.0000
Zn 2.0900 0.0000 2.8098
Ga 0.0000 0.0000 7.0236
Ga 0.0000 2.1153 2.8759
Au 0.0000 0.0000 4.4813
```

Values from the calculation:
The electronic total energy comes out at -2.998 eV/atom.

Entry 8:
Below is Rb4YU3O12 after structural relaxation, with properties calculated at the PBE level.

The structure in extended XYZ format:
```
20
Lattice="-4.3571 4.3571 4.3571 4.3571 -4.3571 4.3571 4.3571 4.3571 -4.3571" Properties=species:S:1:pos:R:3 pbc="T T T"
Rb 2.1785 2.1785 -2.1785
Rb 2.1785 -2.1785 2.1785
Rb -2.1785 2.1785 2.1785
Rb 2.1785 2.1785 2.1785
Y 0.0000 0.0000 0.0000
U 4.3571 0.0000 0.0000
U 0.0000 4.3571 0.0000
U 0.0000 0.0000 4.3571
O 2.3197 0.0000 0.0000
O 6.3945 0.0000 0.0000
O 4.3571 2.1785 0.0000
O 4.3571 0.0000 2.1785
O 0.0000 2.3197 0.0000
O 0.0000 0.0000 2.3197
O 2.1785 4.3571 0.0000
O 2.1785 0.0000 4.3571
O 0.0000 6.3945 0.0000
O 0.0000 0.0000 6.3945
O 0.0000 4.3571 2.1785
O 0.0000 2.1785 4.3571
```

Values from the calculation:
The electronic total energy comes out at -8.072 eV/atom.

- The highest electronic total energy belongs to which entry?
  NaTl3Hg4

- Which value of electronic total energy does entry 4 give?
  -3.218 eV/atom

Please write out number 5 again, unchanged.
Below is Sb2TeCl after structural relaxation, with properties calculated at the PBE level.

The structure in extended XYZ format:
```
4
Lattice="1.8024 -2.9605 0.0000 1.8024 2.9605 0.0000 0.0000 0.0000 9.9260" Properties=species:S:1:pos:R:3 pbc="T T T"
Sb 0.0000 0.0000 2.4076
Sb 0.0000 0.0000 7.5185
Te 1.8024 0.0000 4.9630
Cl 1.8024 0.0000 0.0000
```

Values from the calculation:
The electronic total energy comes out at -3.259 eV/atom.